Record 1
ErGa4Ir | PBE-GGA | optimized geometry

Values from the calculation:
Symmetry: Cmmm (65)

Lattice parameters (Å, degrees): 7.107 7.107 2.907 90.00 90.00 91.15
Sites, in units of the cell vectors:
Er  0.000  0.000  0.000
Ga  0.256  0.744  0.500
Ga  0.291  0.291  0.000
Ga  0.709  0.709  0.000
Ga  0.744  0.256  0.500
Ir  0.500  0.500  0.500

Record 2
Ba2CdP6W | PBE-GGA | optimized geometry

Values from the calculation:
Symmetry: P-31c (163)

Lattice parameters (Å, degrees): 7.636 7.636 11.104 90.00 90.00 120.00
Sites, in units of the cell vectors:
Ba  0.333  0.667  0.075
Ba  0.333  0.667  0.425
Ba  0.667  0.333  0.575
Ba  0.667  0.333  0.925
Cd  0.000  0.000  0.250
Cd  0.000  0.000  0.750
P  0.123  0.353  0.850
P  0.123  0.770  0.650
P  0.230  0.353  0.650
P  0.230  0.877  0.850
P  0.353  0.123  0.350
P  0.353  0.230  0.150
P  0.647  0.770  0.850
P  0.647  0.877  0.650
P  0.770  0.123  0.150
P  0.770  0.647  0.350
P  0.877  0.230  0.350
P  0.877  0.647  0.150
W  0.333  0.667  0.750
W  0.667  0.333  0.250

Record 3
LaAgNO | PBE-GGA | optimized geometry

Values from the calculation:
Symmetry: P4/nmm (129)
Energy relative to the lowest polymorph listed for this composition in meV per atom: 0.0

Lattice parameters (Å, degrees): 3.964 3.964 8.080 90.00 90.00 90.00
Sites, in units of the cell vectors:
La  0.250  0.250  0.156
La  0.750  0.750  0.844
Ag  0.250  0.750  0.500
Ag  0.750  0.250  0.500
N  0.250  0.250  0.662
N  0.750  0.750  0.338
O  0.250  0.750  0.000
O  0.750  0.250  0.000

Record 4
Li2TcO3 | PBE-GGA | optimized geometry

Values from the calculation:
Symmetry: C2/c (15)
Energy relative to the lowest polymorph listed for this composition in meV per atom: 0.0

Lattice parameters (Å, degrees): 5.041 5.041 4.716 99.98 99.98 117.46
Sites, in units of the cell vectors:
Li  0.088  0.912  0.750
Li  0.239  0.761  0.250
Li  0.761  0.239  0.750
Li  0.912  0.088  0.250
Tc  0.425  0.575  0.750
Tc  0.575  0.425  0.250
O  0.000  0.500  0.500
O  0.164  0.339  0.002
O  0.339  0.164  0.502
O  0.500  0.000  0.000
O  0.661  0.836  0.498
O  0.836  0.661  0.998

Number 1: E -4.2440 eV/atom, theoretical density 7.223 g/cm³, spin magnetization 0.03 μB per cell. Number 2: E -5.2162 eV/atom, theoretical density 4.483 g/cm³, spin magnetization 0.01 μB per cell. Number 3: E -6.2800 eV/atom, theoretical density 7.239 g/cm³, spin magnetization 1.93 μB per cell. Number 4: E -6.5569 eV/atom, theoretical density 5.298 g/cm³, spin magnetization 0.00 μB per cell.